The following is a DFT calculation (PBE) of PaAlIr after structural relaxation.

Its space-group type is P2_1/m. The crystal system is monoclinic. The formation energy is -853 meV/atom.

```
18
Lattice="6.965 0.000 0.000 0.000 4.179 0.000 -0.054 0.000 11.989" Properties=species:S:1:pos:R:3 pbc="T T T"
Pa 0.172 1.045 3.492
Pa 2.403 3.134 11.020
Pa 3.250 3.134 7.510
Pa 3.661 1.045 4.479
Pa 4.508 1.045 0.969
Pa 6.739 3.134 8.497
Al -0.020 1.045 10.991
Al 0.974 1.045 6.505
Al 2.497 3.134 2.400
Al 4.414 1.045 9.589
Al 5.937 3.134 5.484
Al 6.931 3.134 0.998
Ir 1.603 1.045 1.108
Ir 1.657 3.134 5.076
Ir 1.777 1.045 9.051
Ir 5.134 3.134 2.938
Ir 5.254 1.045 6.913
Ir 5.308 3.134 10.881
```

***

The following is a DFT calculation (PBE) of Cs4BaU3O12 after structural relaxation.

Its space-group type is Im-3m. The crystal system is cubic.

```
20
Lattice="-4.540 4.540 4.540 4.540 -4.540 4.540 4.540 4.540 -4.540" Properties=species:S:1:pos:R:3 pbc="T T T"
Cs 2.270 2.270 -2.270
Cs 2.270 -2.270 2.270
Cs -2.270 2.270 2.270
Cs 2.270 2.270 2.270
Ba 0.000 0.000 0.000
U 4.540 0.000 0.000
U 0.000 4.540 0.000
U 0.000 0.000 4.540
O 2.614 0.000 0.000
O 6.466 0.000 0.000
O 4.540 2.270 0.000
O 4.540 0.000 2.270
O 0.000 2.614 0.000
O 0.000 0.000 2.614
O 2.270 4.540 0.000
O 2.270 0.000 4.540
O 0.000 6.466 0.000
O 0.000 0.000 6.466
O 0.000 4.540 2.270
O 0.000 2.270 4.540
```

***

The following is a DFT calculation (PBE) of YNi2Os after structural relaxation.

Its space-group type is P2/m. The crystal system is monoclinic. The formation energy is 79 meV/atom. The offset from the most stable computed form is 21.8 kJ per mole of atoms.

```
4
Lattice="2.800 0.000 0.000 0.000 3.697 0.000 -0.009 0.000 5.963" Properties=species:S:1:pos:R:3 pbc="T T T"
Y 0.000 0.000 0.000
Ni 1.395 1.849 1.790
Ni 1.396 1.849 4.173
Os -0.005 0.000 2.981
```

***

The following is a DFT calculation (PBE) of Pu2TiGe4Pt3 after structural relaxation.

Its space-group type is P-4m2. The crystal system is tetragonal. The formation energy is -694 meV/atom.

```
10
Lattice="4.194 0.000 0.000 0.000 4.194 0.000 0.000 0.000 10.903" Properties=species:S:1:pos:R:3 pbc="T T T"
Pu 0.000 2.097 2.718
Pu 2.097 0.000 8.185
Ti 0.000 0.000 5.452
Ge 0.000 0.000 0.000
Ge 0.000 2.097 6.997
Ge 2.097 0.000 3.906
Ge 2.097 2.097 0.000
Pt 0.000 2.097 9.486
Pt 2.097 0.000 1.418
Pt 2.097 2.097 5.452
```

***

The following is a DFT calculation (PBE) of Ba2LiPdAu after structural relaxation.

Its space-group type is P4/mmm. The crystal system is tetragonal. The formation energy is -337 meV/atom. The offset from the most stable computed form is 16.3 kJ per mole of atoms.

```
5
Lattice="6.072 0.000 0.000 0.000 6.072 0.000 0.000 0.000 4.748" Properties=species:S:1:pos:R:3 pbc="T T T"
Ba 0.000 3.036 0.000
Ba 3.036 0.000 0.000
Li 0.000 0.000 2.374
Pd 0.000 0.000 0.000
Au 3.036 3.036 2.374
```

***

The following is a DFT calculation (PBE) of La8SnIr3I4 after structural relaxation.

Its space-group type is C2/m. The crystal system is monoclinic.

```
16
Lattice="7.599 -4.380 0.000 7.599 4.380 0.000 -5.070 0.000 8.156" Properties=species:S:1:pos:R:3 pbc="T T T"
La 3.707 2.359 5.623
La 0.008 0.000 5.632
La 2.337 0.000 2.534
La 6.420 2.359 2.533
La 3.707 -2.359 5.623
La 7.790 0.000 5.622
La 10.119 0.000 2.524
La 6.420 -2.359 2.533
Sn 5.064 0.000 4.078
Ir -2.535 0.000 4.078
Ir 1.264 2.190 4.078
Ir 1.264 -2.190 4.078
I 0.000 0.000 0.000
I 3.799 2.190 0.000
I 3.799 -2.190 0.000
I 7.599 0.000 0.000
```

***

The following is a DFT calculation (PBE) of VRe3Mo4 after structural relaxation.

Its space-group type is Pmna. The crystal system is orthorhombic. The formation energy is -41 meV/atom.

```
16
Lattice="6.233 0.000 0.000 0.000 6.266 0.000 0.000 0.000 6.238" Properties=species:S:1:pos:R:3 pbc="T T T"
V 0.000 0.000 0.000
V 3.116 0.000 3.119
Re 0.000 3.133 0.000
Re 1.558 1.536 1.560
Re 1.558 4.730 4.679
Re 3.116 3.133 3.119
Re 4.675 1.536 1.560
Re 4.675 4.730 4.679
Mo 0.000 0.000 3.119
Mo 0.000 3.133 3.119
Mo 1.558 1.535 4.679
Mo 1.558 4.731 1.560
Mo 3.116 0.000 0.000
Mo 3.116 3.133 0.000
Mo 4.675 1.535 4.679
Mo 4.675 4.731 1.560
```

***

The following is a DFT calculation (PBE) of Cs2ScSbSe4 after structural relaxation.

Its space-group type is Fddd. The crystal system is orthorhombic.

```
16
Lattice="0.000 7.560 12.814 3.505 0.000 12.814 3.505 7.560 0.000" Properties=species:S:1:pos:R:3 pbc="T T T"
Cs 2.628 5.670 1.400
Cs 4.381 9.450 7.807
Cs 2.628 5.670 17.822
Cs 4.381 9.450 24.229
Sc 0.876 1.890 3.204
Sc 6.133 13.230 22.425
Sb 2.628 5.670 9.611
Sb 4.381 9.450 16.018
Se 2.475 3.365 4.565
Se 4.534 7.144 10.972
Se 2.782 7.975 4.565
Se 2.782 3.365 14.657
Se 4.228 11.755 10.972
Se 4.228 7.144 21.064
Se 2.475 7.975 14.657
Se 4.534 11.755 21.064
```

***

Calculated density for the records above, in order: 12.855; 6.986; 10.665; 12.223; 5.550; 7.078; 13.541; 3.660 g/cm³
VASP energy for the records above, in order: -8.220; -7.691; -7.235; -8.009; -3.183; -5.782; -11.264; -4.331 eV/atom